A plane-wave DFT calculation with PBE was carried out for Np2PaSe3 after structural relaxation.

Summary:
ΔE_f (raw), kcal/mol of atoms: -25.5
Magnetization, μB per formula unit: 8.88
Volume, A^3/atom: 23.987

a = 5.7686 Å, b = 12.1965 Å, c = 8.1824 Å
α = 90.00°, β = 90.01°, γ = 90.00°
With the nearest neighbours (Å) after each atom.
Element x y z (fractional)
Np  0.2493  0.0834  0.3727  6 Se 2.88-2.89
Np  0.2493  0.4166  0.8727  6 Se 2.88-2.89
Np  0.2513  0.7491  0.3744  6 Se 2.86-2.89
Np  0.2513  0.7509  0.8744  6 Se 2.86-2.89
Np  0.7487  0.2491  0.1256  6 Se 2.86-2.89
Np  0.7487  0.2509  0.6256  6 Se 2.86-2.89
Np  0.7507  0.5834  0.1273  6 Se 2.88-2.89
Np  0.7507  0.9166  0.6273  6 Se 2.88-2.89
Pa  0.2492  0.0822  0.8773  6 Se 2.88-2.91
Pa  0.2492  0.4178  0.3773  6 Se 2.88-2.91
Pa  0.7508  0.5822  0.6227  6 Se 2.88-2.91
Pa  0.7508  0.9178  0.1227  6 Se 2.88-2.91
Se  0.2486  0.2484  0.6251  4 Np 2.88, 2 Pa 2.89
Se  0.2486  0.2516  0.1251  4 Np 2.88, 2 Pa 2.89
Se  0.2507  0.5837  0.1222  5 Np 2.88-2.89, 1 Pa 2.91
Se  0.2508  0.5851  0.6270  3 Np 2.86-2.88, 3 Pa 2.88-2.89
Se  0.2508  0.9149  0.1270  3 Np 2.86-2.88, 3 Pa 2.88-2.89
Se  0.2507  0.9163  0.6222  5 Np 2.88-2.89, 1 Pa 2.91
Se  0.7493  0.0837  0.3778  5 Np 2.88-2.89, 1 Pa 2.91
Se  0.7492  0.0851  0.8730  3 Np 2.86-2.88, 3 Pa 2.88-2.89
Se  0.7492  0.4149  0.3730  3 Np 2.86-2.88, 3 Pa 2.88-2.89
Se  0.7493  0.4163  0.8778  5 Np 2.88-2.89, 1 Pa 2.91
Se  0.7514  0.7484  0.8749  4 Np 2.88, 2 Pa 2.89
Se  0.7514  0.7516  0.3749  4 Np 2.88, 2 Pa 2.89

=====

A plane-wave DFT calculation with PBE was carried out for Er3PaRh6 after structural relaxation.

Summary:
Magnetization, μB per formula unit: 0.00
Volume, A^3/atom: 18.553
Calculated formation energy, eV/atom: -0.82

a = 8.6088 Å, b = 4.4693 Å, c = 9.8202 Å
α = 90.00°, β = 100.87°, γ = 90.00°
With the nearest neighbours (Å) after each atom.
Element x y z (fractional)
Er  0.0469  0.2500  0.3944  8 Rh 2.78-3.05
Er  0.1415  0.7500  0.1817  8 Rh 2.73-3.03
Er  0.2726  0.2500  0.9650  8 Rh 2.77-3.01
Er  0.7274  0.7500  0.0350  8 Rh 2.77-3.01
Er  0.8585  0.2500  0.8183  8 Rh 2.73-3.03
Er  0.9531  0.7500  0.6056  8 Rh 2.78-3.05
Pa  0.4402  0.2500  0.6308  8 Rh 2.63-2.91
Pa  0.5598  0.7500  0.3692  8 Rh 2.63-2.91
Rh  0.0539  0.7500  0.8947  6 Er 2.78-2.92, 1 Rh 2.99
Rh  0.1416  0.2500  0.6834  1 Pa 2.72, 5 Er 2.78-2.99, 2 Rh 2.96
Rh  0.2595  0.7500  0.4929  3 Rh 2.85-3.12, 3 Pa 2.91-3.06, 4 Er 2.93-3.05
Rh  0.3488  0.2500  0.2999  5 Rh 2.83-3.12, 2 Pa 2.88, 3 Er 2.92-2.96
Rh  0.3564  0.7500  0.7872  8 Rh 2.83-3.06, 2 Pa 2.88, 2 Er 3.01
Rh  0.4296  0.7500  0.1039  1 Pa 2.63, 4 Er 2.73-2.83
Rh  0.5704  0.2500  0.8961  1 Pa 2.63, 4 Er 2.73-2.83
Rh  0.6436  0.2500  0.2128  8 Rh 2.83-3.06, 2 Pa 2.88, 2 Er 3.01
Rh  0.6512  0.7500  0.7001  5 Rh 2.83-3.12, 2 Pa 2.88, 3 Er 2.92-2.96
Rh  0.7405  0.2500  0.5071  3 Rh 2.85-3.12, 3 Pa 2.91-3.06, 4 Er 2.93-3.05
Rh  0.8584  0.7500  0.3166  1 Pa 2.72, 5 Er 2.78-2.99, 2 Rh 2.96
Rh  0.9461  0.2500  0.1053  6 Er 2.78-2.92, 1 Rh 2.99

=====

A plane-wave DFT calculation with PBE was carried out for KFe2Os after structural relaxation.

Summary:
Magnetization, μB per formula unit: 4.64
Volume, A^3/atom: 19.031
Calculated formation energy, eV/atom: 0.70
Distance to the lowest polymorph of the same formula, eV per formula unit: 0.00

a = 2.6930 Å, b = 3.7715 Å, c = 7.5031 Å
α = 90.00°, β = 92.66°, γ = 90.00°
With the nearest neighbours (Å) after each atom.
Element x y z (fractional)
K  0.0000  0.0000  0.0000  2 K 2.69
Fe  0.4827  0.5000  0.3484  1 Fe 2.27
Fe  0.5173  0.5000  0.6516  1 Fe 2.27
Os  0.0000  0.0000  0.5000  8 Fe 2.58, 2 Os 2.69

=====

A plane-wave DFT calculation with PBE was carried out for MnSe after structural relaxation.

Summary:
ΔE_f (raw), kcal/mol of atoms: -6.2
Magnetization, μB per formula unit: 4.86
Volume, A^3/atom: 23.791

a = 6.7838 Å, b = 7.3296 Å, c = 7.6557 Å
α = 90.00°, β = 90.00°, γ = 90.00°
With the nearest neighbours (Å) after each atom.
Element x y z (fractional)
Mn  0.1772  0.1424  0.3844  4 Se 2.53-2.64
Mn  0.2131  0.5761  0.3857  5 Se 2.61-2.83
Mn  0.2869  0.4239  0.8857  5 Se 2.61-2.83
Mn  0.3228  0.8576  0.8844  4 Se 2.53-2.64
Mn  0.6772  0.3576  0.6156  4 Se 2.53-2.64
Mn  0.7131  0.9239  0.6143  5 Se 2.61-2.83
Mn  0.7869  0.0761  0.1143  5 Se 2.61-2.83
Mn  0.8228  0.6424  0.1156  4 Se 2.53-2.64
Se  0.0320  0.3497  0.1327  5 Mn 2.58-2.83
Se  0.0501  0.3549  0.6226  4 Mn 2.53-2.67
Se  0.4499  0.6451  0.1226  4 Mn 2.53-2.67
Se  0.4680  0.6503  0.6327  5 Mn 2.58-2.83
Se  0.5320  0.1503  0.8673  5 Mn 2.58-2.83
Se  0.5501  0.1451  0.3774  4 Mn 2.53-2.67
Se  0.9499  0.8549  0.8774  4 Mn 2.53-2.67
Se  0.9680  0.8497  0.3673  5 Mn 2.58-2.83

=====

A plane-wave DFT calculation with PBE was carried out for ScGaPt4 after structural relaxation.

Summary:
Magnetization, μB per formula unit: 0.00
Volume, A^3/atom: 17.081
Calculated formation energy, eV/atom: -0.77

a = 5.3757 Å, b = 8.4877 Å, c = 4.4923 Å
α = 90.00°, β = 90.00°, γ = 90.00°
With the nearest neighbours (Å) after each atom.
Element x y z (fractional)
Sc  0.0000  0.0000  0.0000  8 Pt 2.80-2.94
Sc  0.5000  0.5000  0.0000  8 Pt 2.80-2.94
Ga  0.0000  0.5000  0.5000  8 Pt 2.53-2.68
Ga  0.5000  0.0000  0.5000  8 Pt 2.53-2.68
Pt  0.0520  0.3313  0.0000  2 Ga 2.68, 5 Pt 2.74-2.92, 2 Sc 2.80-2.83
Pt  0.1537  0.7985  0.5000  2 Ga 2.53-2.67, 6 Pt 2.74-2.81
Pt  0.3463  0.2985  0.5000  2 Ga 2.53-2.67, 6 Pt 2.74-2.81
Pt  0.4480  0.8313  0.0000  2 Ga 2.68, 5 Pt 2.74-2.92, 2 Sc 2.80-2.83
Pt  0.5520  0.1687  0.0000  2 Ga 2.68, 5 Pt 2.74-2.92, 2 Sc 2.80-2.83
Pt  0.6537  0.7015  0.5000  2 Ga 2.53-2.67, 6 Pt 2.74-2.81
Pt  0.8463  0.2015  0.5000  2 Ga 2.53-2.67, 6 Pt 2.74-2.81
Pt  0.9480  0.6687  0.0000  2 Ga 2.68, 5 Pt 2.74-2.92, 2 Sc 2.80-2.83

=====

A plane-wave DFT calculation with PBE was carried out for CrCuAs after structural relaxation.

Summary:
Magnetization, μB per formula unit: 2.85
Volume, A^3/atom: 14.258
Calculated formation energy, eV/atom: 0.22

a = 4.6807 Å, b = 4.6807 Å, c = 4.6807 Å
α = 142.42°, β = 136.34°, γ = 58.94°
With the nearest neighbours (Å) after each atom.
Element x y z (fractional)
Cr  0.0000  0.0000  0.0000  5 As 2.61-2.84, 5 Cu 2.68-2.69
Cu  0.6711  0.6711  0.0000  5 As 2.63-2.72, 5 Cr 2.68-2.69
As  0.3484  0.3484  0.0000  5 Cr 2.61-2.84, 5 Cu 2.63-2.72

=====

A plane-wave DFT calculation with PBE was carried out for La6CePrSm2 after structural relaxation.

Summary:
Magnetization, μB per formula unit: 1.30
Volume, A^3/atom: 36.148
Calculated formation energy, eV/atom: 0.21

a = 7.0478 Å, b = 7.0478 Å, c = 9.0765 Å
α = 107.08°, β = 107.08°, γ = 58.36°
With the nearest neighbours (Å) after each atom.
Element x y z (fractional)
La  0.0897  0.6056  0.6917  1 Pr 3.31, 3 La 3.33-3.55, 1 Ce 3.39, 2 Sm 3.42-3.63
La  0.1559  0.1559  0.9107  1 Ce 3.57, 3 Sm 3.92-3.97, 4 La 3.98-3.99
La  0.3944  0.9103  0.3083  1 Pr 3.31, 3 La 3.33-3.55, 1 Ce 3.39, 2 Sm 3.42-3.63
La  0.6056  0.0897  0.6917  1 Pr 3.31, 3 La 3.33-3.55, 1 Ce 3.39, 2 Sm 3.42-3.63
La  0.8441  0.8441  0.0893  1 Ce 3.57, 3 Sm 3.92-3.97, 4 La 3.98-3.99
La  0.9103  0.3944  0.3083  1 Pr 3.31, 3 La 3.33-3.55, 1 Ce 3.39, 2 Sm 3.42-3.63
Ce  0.0000  0.0000  0.5000  6 La 3.39-3.57
Pr  0.5000  0.5000  0.0000  4 La 3.31, 2 Sm 3.55
Sm  0.3982  0.3982  0.3220  1 Sm 3.36, 4 La 3.42-3.63, 1 Pr 3.55
Sm  0.6018  0.6018  0.6780  1 Sm 3.36, 4 La 3.42-3.63, 1 Pr 3.55

=====

A plane-wave DFT calculation with PBE was carried out for Al4Zn2Ag5 after structural relaxation.

Summary:
Magnetization, μB per formula unit: 0.00
Volume, A^3/atom: 17.895
Calculated formation energy, eV/atom: 0.10
Distance to the lowest polymorph of the same formula, eV per formula unit: 1.35

a = 10.3681 Å, b = 10.3681 Å, c = 10.3681 Å
α = 164.08°, β = 139.84°, γ = 43.45°
With the nearest neighbours (Å) after each atom.
Element x y z (fractional)
Al  0.1913  0.5000  0.6913  2 Ag 2.63, 4 Zn 2.71, 3 Al 2.72-2.87
Al  0.2305  0.2305  0.0000  1 Zn 2.60, 2 Ag 2.69, 2 Al 2.87
Al  0.7695  0.7695  0.0000  1 Zn 2.60, 2 Ag 2.69, 2 Al 2.87
Al  0.8087  0.5000  0.3087  2 Ag 2.63, 4 Zn 2.71, 3 Al 2.72-2.87
Zn  0.0958  0.0958  0.0000  5 Al 2.60-2.71, 4 Ag 2.78, 2 Zn 2.87
Zn  0.9042  0.9042  0.0000  5 Al 2.60-2.71, 4 Ag 2.78, 2 Zn 2.87
Ag  0.1462  0.3484  0.7978  3 Al 2.69-2.98, 2 Zn 2.78, 3 Ag 2.87-2.88
Ag  0.4494  0.6516  0.7978  3 Al 2.69-2.98, 2 Zn 2.78, 3 Ag 2.87-2.88
Ag  0.5000  0.0000  0.5000  4 Al 2.63, 2 Ag 2.87
Ag  0.5506  0.3484  0.2022  3 Al 2.69-2.98, 2 Zn 2.78, 3 Ag 2.87-2.88
Ag  0.8538  0.6516  0.2022  3 Al 2.69-2.98, 2 Zn 2.78, 3 Ag 2.87-2.88